DFT (PBE+U) results for a relaxed structure of AlWF2.

Lattice parameters (Å, degrees): 5.8999 5.8999 8.4310 90.00 90.00 90.00
Closest atoms and distances in Å follow each position.
Element x y z (fractional)
Al1 0.0000 0.2500 0.3750  4 F 1.81
Al2 0.0000 0.7500 0.6250  4 F 1.81
Al3 0.5000 0.2500 0.1250  4 F 1.81
Al4 0.5000 0.7500 0.8750  4 F 1.81
W1 0.0000 0.2500 0.8750  12 F 3.46-3.49, 4 W 3.63, 4 Al 3.63
W2 0.0000 0.7500 0.1250  12 F 3.46-3.49, 4 W 3.63, 4 Al 3.63
W3 0.5000 0.2500 0.6250  12 F 3.46-3.49, 4 Al 3.63, 4 W 3.63
W4 0.5000 0.7500 0.3750  12 F 3.46-3.49, 4 W 3.63, 4 Al 3.63
F1 0.0000 0.0000 0.5000  2 Al 1.81
F2 0.0000 0.5000 0.5000  2 Al 1.81
F3 0.2500 0.2500 0.2500  2 Al 1.81
F4 0.2500 0.7500 0.7500  2 Al 1.81
F5 0.5000 0.0000 0.0000  2 Al 1.81
F6 0.5000 0.5000 0.0000  2 Al 1.81
F7 0.7500 0.2500 0.2500  2 Al 1.81
F8 0.7500 0.7500 0.7500  2 Al 1.81

Properties
Total energy ... -4.427 eV/atom
Mass density ... 5.63 g cm⁻³
V ... 18.34 Å³ per atom
E above lowest polymorph ... 15 kJ/mol of formula units
Space group ... I4_1/amd, No. 141